(1)
VASP calculation (PBE) on an optimized crystal structure of Bi2MoIr.

Output
The value obtained for the energy of formation from the pure elements is 1.119 eV per atom. The value obtained for the energy relative to the lowest polymorph listed for this composition is 0.4856 eV per atom.

a b c (Å): 6.3358 6.3358 7.5582
angles (deg): 65.22 65.22 90.00
Closest atoms and distances in Å follow each position.
Fractional coordinates of all 8 atoms:
Bi 0.6402 0.1250 0.2500  2 Ir 2.65, 2 Mo 2.77
Bi 0.3750 0.3598 0.7500  2 Ir 2.65, 2 Mo 2.77
Bi 0.8750 0.8902 0.7500  2 Ir 2.65, 2 Mo 2.77
Mo 0.5000 0.5000 0.0000  4 Bi 2.77
Mo 0.2500 0.7500 0.5000  4 Bi 2.77
Bi 0.1098 0.6250 0.2500  2 Ir 2.65, 2 Mo 2.77
Ir 0.7500 0.2500 0.5000  4 Bi 2.65
Ir 0.0000 0.0000 0.0000  4 Bi 2.65

***

(2)
VASP calculation (PBE) on an optimized crystal structure of BaCd2W.

Output
The value obtained for the energy of formation from the pure elements is 1.011 eV per atom. The value obtained for the energy relative to the lowest polymorph listed for this composition is 0.3925 eV per atom.

a b c (Å): 5.3551 5.3551 5.3551
angles (deg): 60.00 60.00 60.00
Closest atoms and distances in Å follow each position.
Fractional coordinates of all 4 atoms:
Ba 0.5000 0.5000 0.5000  4 Cd 3.28, 4 W 3.28
Cd 0.0000 0.0000 0.0000  4 Cd 3.28, 4 W 3.28
Cd 0.2500 0.2500 0.2500  4 Ba 3.28, 4 Cd 3.28
W 0.7500 0.7500 0.7500  4 Ba 3.28, 4 Cd 3.28

***

What did the second record say?
VASP calculation (PBE) on an optimized crystal structure of BaCd2W.

Output
The value obtained for the energy of formation from the pure elements is 1.011 eV per atom. The value obtained for the energy relative to the lowest polymorph listed for this composition is 0.3925 eV per atom.

a b c (Å): 5.3551 5.3551 5.3551
angles (deg): 60.00 60.00 60.00
Closest atoms and distances in Å follow each position.
Fractional coordinates of all 4 atoms:
Ba 0.5000 0.5000 0.5000  4 Cd 3.28, 4 W 3.28
Cd 0.0000 0.0000 0.0000  4 Cd 3.28, 4 W 3.28
Cd 0.2500 0.2500 0.2500  4 Ba 3.28, 4 Cd 3.28
W 0.7500 0.7500 0.7500  4 Ba 3.28, 4 Cd 3.28

***

Among the records above, which one has the lowest energy relative to the lowest polymorph listed for this composition? BaCd2W

***

energy relative to the lowest polymorph listed for this composition of number 2 (BaCd2W)? 0.3925 eV per atom